Record 1
Here is a relaxed structure of Y2FeAs from Alexandria via LeMat-Bulk. Energies are from PBE.

## Properties
**Calculated formation energy**: -0.20 eV/atom
**DOS at the Fermi energy**: 6.18 states/eV/cell

POSCAR file:
```
Y2FeAs
1.0
3.371 0.000 0.000
0.000 3.371 0.000
0.000 0.000 7.885
Fe As Y
1 1 2
Direct
0.500 0.500 0.690
0.000 0.000 0.561
0.500 0.500 0.315
0.000 0.000 0.934
```

=====

Record 2
Here is a relaxed structure of YFeAs2 from Alexandria via LeMat-Bulk. Energies are from PBE.

## Properties
**Calculated formation energy**: -0.30 eV/atom
**Excess energy over the best structure of this formula in the dataset**: 329 meV/atom
**DOS at the Fermi energy**: 3.01 states/eV/cell

POSCAR file:
```
YFeAs2
1.0
-0.094 0.691 -4.793
1.884 -4.412 -0.673
-5.978 -4.752 -3.015
Y Fe As
2 2 4
Direct
0.750 0.250 0.500
0.000 0.000 0.000
0.250 0.750 0.500
0.500 0.500 0.000
0.253 0.625 0.250
0.375 0.503 0.750
0.497 0.125 0.250
0.875 0.747 0.750
```

=====

Record 3
Here is a relaxed structure of YFe2As from Alexandria via LeMat-Bulk. Energies are from PBE.

## Properties
**Calculated formation energy**: -0.06 eV/atom
**DOS at the Fermi energy**: 8.11 states/eV/cell

POSCAR file:
```
YFe2As
1.0
-2.140 3.722 -0.361
-3.655 -2.169 -0.705
-4.419 0.692 7.615
As Y Fe
2 2 4
Direct
0.250 0.750 0.500
0.500 0.500 0.000
0.000 0.000 0.000
0.750 0.250 0.500
0.451 0.125 0.250
0.375 0.549 0.750
0.299 0.625 0.250
0.875 0.701 0.750
```

=====

Record 4
Here is a relaxed structure of YFe2As from Alexandria via LeMat-Bulk. Energies are from PBE.

## Properties
**Calculated formation energy**: -0.19 eV/atom
**DOS at the Fermi energy**: 3.18 states/eV/cell

POSCAR file:
```
YFe2As
1.0
-2.321 0.368 3.044
2.302 -1.781 1.970
3.367 3.873 2.099
Fe As Y
2 1 1
Direct
0.500 0.272 0.116
0.000 0.817 0.052
0.500 0.911 0.773
0.000 0.499 0.559
```

=====

Record 5
Here is a relaxed structure of Y2FeAs from Alexandria via LeMat-Bulk. Energies are from PBE.

## Properties
**Calculated formation energy**: -0.67 eV/atom
**DOS at the Fermi energy**: 4.04 states/eV/cell

POSCAR file:
```
Y2FeAs
1.0
4.073 0.000 0.000
0.000 3.981 0.004
0.000 1.984 5.382
Fe As Y
1 1 2
Direct
0.500 0.549 0.777
0.000 0.696 0.482
0.000 0.987 0.902
0.500 0.268 0.339
```

=====

Record 6
Here is a relaxed structure of YFeAs2 from Alexandria via LeMat-Bulk. Energies are from PBE.

## Properties
**Calculated formation energy**: -0.44 eV/atom
**Excess energy over the best structure of this formula in the dataset**: 185 meV/atom
**DOS at the Fermi energy**: 2.39 states/eV/cell

POSCAR file:
```
YFeAs2
1.0
-0.020 3.757 -2.743
0.832 -2.224 -3.052
-4.525 -0.601 -0.791
Y Fe As
1 1 2
Direct
0.500 0.751 0.799
0.000 0.248 0.457
0.500 0.250 0.300
0.000 0.251 0.944
```

=====

Record 7
Here is a relaxed structure of Y2Fe2As from Alexandria via LeMat-Bulk. Energies are from PBE.

## Properties
**Calculated formation energy**: -0.01 eV/atom
**Excess energy over the best structure of this formula in the dataset**: 203 meV/atom
**DOS at the Fermi energy**: 2.40 states/eV/cell

POSCAR file:
```
Y2Fe2As
1.0
5.405 0.000 0.000
0.000 5.405 0.000
2.702 2.702 3.529
Fe Y As
2 2 1
Direct
0.336 0.336 0.328
0.664 0.664 0.672
0.250 0.750 0.500
0.750 0.250 0.500
0.000 0.000 0.000
```

=====

Record 8
Here is a relaxed structure of YFeAs2 from Alexandria via LeMat-Bulk. Energies are from PBE.

## Properties
**Calculated formation energy**: -0.38 eV/atom
**Excess energy over the best structure of this formula in the dataset**: 248 meV/atom
**DOS at the Fermi energy**: 4.28 states/eV/cell

POSCAR file:
```
YFeAs2
1.0
-0.266 2.191 3.248
-3.788 -0.978 0.347
1.421 -4.406 3.089
As Y Fe
2 1 1
Direct
0.000 0.000 0.884
0.500 0.500 0.368
0.500 0.500 0.865
0.000 0.000 0.383
```

=====

Record 9
Here is a relaxed structure of Y2FeAs from Alexandria via LeMat-Bulk. Energies are from PBE.

## Properties
**Calculated formation energy**: 0.10 eV/atom
**DOS at the Fermi energy**: 3.30 states/eV/cell

POSCAR file:
```
Y2FeAs
1.0
4.797 0.000 0.000
2.399 4.155 0.000
2.399 1.385 3.917
As Y Fe
1 2 1
Direct
0.500 0.500 0.500
0.000 0.000 0.000
0.250 0.250 0.250
0.750 0.750 0.750
```

=====

Record 10
Here is a relaxed structure of ZnFeAs2 from Alexandria via LeMat-Bulk. Energies are from PBE.

## Properties
**Calculated formation energy**: 0.09 eV/atom
**DOS at the Fermi energy**: 2.55 states/eV/cell

POSCAR file:
```
ZnFeAs2
1.0
6.753 0.077 -0.029
5.145 4.375 0.029
-5.773 -2.698 2.239
As Zn Fe
2 1 1
Direct
0.688 0.188 0.500
0.966 0.966 0.000
0.308 0.808 0.500
0.538 0.538 0.000
```

=====

Record 11
Here is a relaxed structure of ZnFeAs2 from Alexandria via LeMat-Bulk. Energies are from PBE.

## Properties
**Calculated formation energy**: 0.08 eV/atom
**DOS at the Fermi energy**: 2.28 states/eV/cell

POSCAR file:
```
ZnFeAs2
1.0
4.831 0.022 0.021
3.998 2.713 0.021
1.895 0.587 5.349
As Fe Zn
2 1 1
Direct
0.028 0.028 0.006
0.847 0.847 0.725
0.450 0.450 0.365
0.175 0.175 0.404
```

=====

Record 12
Here is a relaxed structure of ZnFeAs2 from Alexandria via LeMat-Bulk. Energies are from PBE.

## Properties
**Calculated formation energy**: 0.21 eV/atom
**DOS at the Fermi energy**: 2.84 states/eV/cell

POSCAR file:
```
ZnFeAs2
1.0
-8.525 3.857 0.354
-8.640 2.253 2.822
-7.424 4.936 2.864
As Fe Zn
2 1 1
Direct
0.016 0.016 0.016
0.226 0.226 0.226
0.498 0.498 0.498
0.759 0.759 0.759
```

=====

Record 13
Here is a relaxed structure of ZnFeAs2 from Alexandria via LeMat-Bulk. Energies are from PBE.

## Properties
**Calculated formation energy**: 0.28 eV/atom
**DOS at the Fermi energy**: 3.36 states/eV/cell

POSCAR file:
```
ZnFeAs2
1.0
4.453 0.007 0.000
-1.118 4.310 0.000
0.000 0.000 3.336
As Fe Zn
2 1 1
Direct
0.500 0.500 0.000
0.000 0.000 0.000
0.500 0.000 0.500
0.000 0.500 0.500
```

=====

Record 14
Here is a relaxed structure of ZnFeAs from Alexandria via LeMat-Bulk. Energies are from PBE.

## Properties
**Calculated formation energy**: 0.09 eV/atom
**Excess energy over the best structure of this formula in the dataset**: 57 meV/atom
**DOS at the Fermi energy**: 4.24 states/eV/cell

POSCAR file:
```
ZnFeAs
1.0
4.046 0.000 0.000
2.023 3.504 0.000
2.023 1.168 3.304
As Zn Fe
1 1 1
Direct
0.500 0.500 0.500
0.000 0.000 0.000
0.750 0.750 0.750
```

=====

Record 15
Here is a relaxed structure of ZnFeAs from Alexandria via LeMat-Bulk. Energies are from PBE.

## Properties
**Calculated formation energy**: 0.18 eV/atom
**Excess energy over the best structure of this formula in the dataset**: 147 meV/atom
**DOS at the Fermi energy**: 1.92 states/eV/cell

POSCAR file:
```
ZnFeAs
1.0
-0.647 -0.584 -3.827
1.020 -3.013 2.299
-3.170 -0.595 0.627
As Zn Fe
1 1 1
Direct
0.000 0.000 0.167
0.333 0.667 0.667
0.667 0.333 0.167
```

=====

Record 16
Here is a relaxed structure of ZnFe2As8 from Alexandria via LeMat-Bulk. Energies are from PBE.

## Properties
**Calculated formation energy**: 0.11 eV/atom
**DOS at the Fermi energy**: 6.34 states/eV/cell

POSCAR file:
```
ZnFe2As8
1.0
3.813 -1.232 -0.581
-1.265 7.134 -3.297
-0.843 1.577 8.644
As Zn Fe
8 1 2
Direct
0.889 0.398 0.838
0.440 0.320 0.267
0.033 0.770 0.583
0.111 0.602 0.162
0.967 0.230 0.417
0.560 0.680 0.733
0.691 0.890 0.197
0.309 0.110 0.803
0.000 0.000 0.000
0.273 0.362 0.705
0.727 0.638 0.295
```

=====

Record 17
Here is a relaxed structure of ZnFe2As from Alexandria via LeMat-Bulk. Energies are from PBE.

## Properties
**Calculated formation energy**: 0.14 eV/atom
**Excess energy over the best structure of this formula in the dataset**: 89 meV/atom
**DOS at the Fermi energy**: 3.18 states/eV/cell

POSCAR file:
```
ZnFe2As
1.0
3.923 0.000 0.000
0.000 2.691 -0.027
0.000 1.618 5.148
As Zn Fe
1 1 2
Direct
0.500 0.750 0.750
0.500 0.250 0.250
0.000 0.821 0.005
0.000 0.679 0.495
```

=====

Record 18
Here is a relaxed structure of ZnFe2As from Alexandria via LeMat-Bulk. Energies are from PBE.

## Properties
**Calculated formation energy**: 0.05 eV/atom
**Excess energy over the best structure of this formula in the dataset**: 0 meV/atom
**DOS at the Fermi energy**: 2.82 states/eV/cell

POSCAR file:
```
ZnFe2As
1.0
-0.839 -1.594 -2.601
2.785 -1.500 0.021
-2.119 -3.892 3.069
As Zn Fe
1 1 2
Direct
0.500 0.500 0.780
0.000 0.000 0.475
0.500 0.500 0.243
0.000 0.000 0.002
```

=====

Record 19
Here is a relaxed structure of ZnFeAs2 from Alexandria via LeMat-Bulk. Energies are from PBE.

## Properties
**Calculated formation energy**: 0.32 eV/atom
**DOS at the Fermi energy**: 3.71 states/eV/cell

POSCAR file:
```
ZnFeAs2
1.0
4.298 0.000 0.000
0.000 4.292 0.000
0.000 0.000 3.442
Fe Zn As
1 1 2
Direct
0.500 0.000 0.500
0.000 0.500 0.500
0.500 0.500 0.000
0.000 0.000 0.000
```

=====

Record 20
Here is a relaxed structure of ZnFeAs2 from Alexandria via LeMat-Bulk. Energies are from PBE.

## Properties
**Calculated formation energy**: 0.14 eV/atom
**DOS at the Fermi energy**: 2.89 states/eV/cell

POSCAR file:
```
ZnFeAs2
1.0
4.021 0.000 0.000
0.000 3.391 0.016
0.000 1.699 4.697
As Zn Fe
2 1 1
Direct
0.000 0.990 0.893
0.500 0.271 0.336
0.500 0.535 0.804
0.000 0.703 0.467
```